# HfO2

A relaxed HfO2 crystal (PBE-GGA, OQMD via LeMat-Bulk).

## Properties
Total energy: -10.148 eV per atom

Geometry as CIF:
```
data_HfO2
_cell_length_a 5.2343
_cell_length_b 5.0261
_cell_length_c 5.0490
_cell_angle_alpha 90.00
_cell_angle_beta 90.00
_cell_angle_gamma 90.00
_space_group_name_H-M_alt 'P c a 21'
_space_group_IT_number 29
loop_
_space_group_symop_operation_xyz
'x,y,z'
'-x,-y,z+1/2'
'-x+1/2,y,z+1/2'
'x+1/2,-y,z'
loop_
_atom_site_label
_atom_site_fract_x
_atom_site_fract_y
_atom_site_fract_z
Hf1 0.0325 0.2331 0.0000
O1 0.1343 0.4308 0.6418
O2 0.2322 0.9606 0.2491
```


# HfO3

A relaxed HfO3 crystal (PBE-GGA, OQMD via LeMat-Bulk).

## Properties
ΔE to the lowest computed polymorph: 340.8 meV/atom

Geometry as CIF:
```
data_HfO3
_cell_length_a 6.1899
_cell_length_b 8.8195
_cell_length_c 3.8155
_cell_angle_alpha 90.00
_cell_angle_beta 111.51
_cell_angle_gamma 90.00
_space_group_name_H-M_alt 'C 1 2 1'
_space_group_IT_number 5
loop_
_space_group_symop_operation_xyz
'x,y,z'
'-x,y,-z'
'x+1/2,y+1/2,z'
'-x+1/2,y+1/2,-z'
loop_
_atom_site_label
_atom_site_fract_x
_atom_site_fract_y
_atom_site_fract_z
Hf1 0.0000 0.0000 0.0000
Hf2 0.0000 0.4624 0.5000
O1 0.2300 0.4219 0.1568
O2 0.2358 0.1065 0.4041
O3 0.2356 0.3075 0.8606
```